# 1
{"formula": "Li2ZrTe2", "functional": "GGA-PBE", "state": "optimized geometry", "volume_a3_per_cell": 235, "e_form_raw_ev_per_atom": -0.66, "spacegroup": "P4/mbm (127)", "cell": [[7.719, 0.000, 0.000], [0.000, 7.719, 0.000], [0.000, 0.000, 3.948]], "species": ["Te", "Te", "Te", "Te", "Zr", "Zr", "Li", "Li", "Li", "Li"], "fractional_positions": [[0.331, 0.831, 0.000], [0.831, 0.669, 0.000], [0.669, 0.169, 0.000], [0.169, 0.331, 0.000], [0.000, 0.000, 0.000], [0.500, 0.500, 0.000], [0.143, 0.643, 0.500], [0.643, 0.857, 0.500], [0.857, 0.357, 0.500], [0.357, 0.143, 0.500]]}



# 2
{"formula": "LiZr3Te", "functional": "GGA-PBE", "state": "optimized geometry", "volume_a3_per_cell": 108, "e_form_raw_ev_per_atom": 0.38, "spacegroup": "Pm-3m (221)", "cell": [[4.756, 0.000, 0.000], [0.000, 4.756, 0.000], [0.000, 0.000, 4.756]], "species": ["Te", "Zr", "Zr", "Zr", "Li"], "fractional_positions": [[0.500, 0.500, 0.500], [0.000, 0.500, 0.000], [0.000, 0.000, 0.500], [0.500, 0.000, 0.000], [0.000, 0.000, 0.000]]}



# 3
{"formula": "LiZrTe", "functional": "GGA-PBE", "state": "optimized geometry", "volume_a3_per_cell": 74, "e_form_raw_ev_per_atom": -0.21, "spacegroup": "F-43m (216)", "cell": [[-3.147, -3.482, -0.366], [-1.386, -2.333, 3.847], [-4.364, 0.587, 1.664]], "species": ["Li", "Te", "Zr"], "fractional_positions": [[0.500, 0.500, 0.500], [0.750, 0.750, 0.750], [0.000, 0.000, 0.000]]}



# 4
{"formula": "Li5ZrTe6", "functional": "GGA-PBE", "state": "optimized geometry", "volume_a3_per_cell": 296, "e_form_raw_ev_per_atom": -0.75, "spacegroup": "C2/m (12)", "cell": [[7.713, -0.096, 0.000], [2.038, 7.477, 0.000], [1.019, 3.739, 5.118]], "species": ["Li", "Li", "Li", "Li", "Li", "Zr", "Te", "Te", "Te", "Te", "Te", "Te"], "fractional_positions": [[0.500, 0.160, 0.681], [0.000, 0.342, 0.316], [0.500, 0.500, 0.000], [0.000, 0.658, 0.684], [0.500, 0.840, 0.319], [0.000, 0.000, 0.000], [0.750, 0.067, 0.341], [0.250, 0.592, 0.341], [0.242, 0.253, 0.000], [0.758, 0.747, 0.000], [0.750, 0.408, 0.659], [0.250, 0.933, 0.659]]}